## SmInGa (PBE-GGA)

Data for a relaxed structure of SmInGa.

Results
symmetry: No. 156
formation enthalpy at 0 K: -0.51 eV per atom
density of states at the Fermi level: 1.253 states/eV/f.u.
electronic total energy: -4.01 eV/atom
energy above the lowest structure with this stoichiometry: 0.0000 eV/atom

Geometry as extended XYZ:
```
3
Lattice="4.609 0.000 0.000 -2.305 3.992 0.000 0.000 0.000 4.008" Properties=species:S:1:pos:R:3 pbc="T T T"
Sm 0.000 0.000 0.000
In 0.000 2.661 1.831
Ga 2.305 1.331 2.445
```